[1]
! SmEr2HfN4 (GGA-PBE, optimized geometry); values from VASP
&SYSTEM
  ibrav = 0, nat = 8, ntyp = 4
/
ATOMIC_SPECIES
Hf 178.49 Hf.upf
N 14.01 N.upf
Er 167.26 Er.upf
Sm 150.36 Sm.upf
CELL_PARAMETERS angstrom
-1.224 0.478 3.130
-0.166 -5.855 0.830
5.227 2.052 1.730
ATOMIC_POSITIONS crystal
Hf 0.000 0.000 0.000
N 0.500 0.231 0.238
N 0.000 0.768 0.247
N 0.000 0.232 0.753
N 0.500 0.769 0.762
Er 0.000 0.500 0.500
Er 0.500 0.000 0.500
Sm 0.500 0.500 0.000
! **Calculated density**: 10.7 g/cm3
! **VASP energy**: -8.84 eV per atom
! **ΔE_f (raw)**: -1.71 eV per atom
! **Density of states at the Fermi level**: 0.142 states/eV per atom

***

[2]
! Ba2ErSb3Pt4 (GGA-PBE, optimized geometry); values from VASP
&SYSTEM
  ibrav = 0, nat = 10, ntyp = 4
/
ATOMIC_SPECIES
Er 167.26 Er.upf
Sb 121.76 Sb.upf
Pt 195.08 Pt.upf
Ba 137.33 Ba.upf
CELL_PARAMETERS angstrom
-1.800 2.729 3.437
-3.599 -3.043 0.530
5.923 -5.680 7.612
ATOMIC_POSITIONS crystal
Er 0.500 0.500 0.500
Sb 0.000 0.500 0.121
Sb 0.000 0.000 0.500
Sb 0.500 0.000 0.879
Pt 0.000 0.500 0.364
Pt 0.500 0.500 0.000
Pt 0.000 0.000 0.000
Pt 0.500 0.000 0.636
Ba 0.000 0.500 0.767
Ba 0.500 0.000 0.233
! **Calculated density**: 10.5 g/cm3
! **VASP energy**: -5.39 eV per atom
! **ΔE_f (raw)**: -0.90 eV per atom
! **Density of states at the Fermi level**: 0.556 states/eV per atom

***

[3]
! TmSiPt4 (GGA-PBE, optimized geometry); values from VASP
&SYSTEM
  ibrav = 0, nat = 12, ntyp = 3
/
ATOMIC_SPECIES
Pt 195.08 Pt.upf
Tm 168.93 Tm.upf
Si 28.09 Si.upf
CELL_PARAMETERS angstrom
0.276 -1.705 4.665
-2.981 -6.727 -1.754
5.430 -0.825 -1.881
ATOMIC_POSITIONS crystal
Pt 0.381 0.659 0.396
Pt 0.320 0.599 0.856
Pt 0.680 0.401 0.144
Pt 0.688 0.066 0.904
Pt 0.045 0.167 0.393
Pt 0.955 0.833 0.607
Pt 0.312 0.934 0.096
Pt 0.619 0.341 0.604
Tm 0.151 0.262 0.914
Tm 0.849 0.738 0.086
Si 0.000 0.500 0.500
Si 0.500 0.000 0.500
! **Calculated density**: 15.4 g/cm3
! **VASP energy**: -6.48 eV per atom
! **ΔE_f (raw)**: -0.81 eV per atom
! **Density of states at the Fermi level**: 0.413 states/eV per atom

***

[4]
! Ta2CrGa2 (GGA-PBE, optimized geometry); values from VASP
&SYSTEM
  ibrav = 0, nat = 10, ntyp = 3
/
ATOMIC_SPECIES
Ta 180.95 Ta.upf
Ga 69.72 Ga.upf
Cr 52.00 Cr.upf
CELL_PARAMETERS angstrom
6.555 0.000 0.000
0.000 6.555 0.000
0.000 0.000 3.645
ATOMIC_POSITIONS crystal
Ta 0.828 0.328 0.500
Ta 0.172 0.672 0.500
Ta 0.672 0.828 0.500
Ta 0.328 0.172 0.500
Ga 0.867 0.633 0.000
Ga 0.367 0.867 0.000
Ga 0.133 0.367 0.000
Ga 0.633 0.133 0.000
Cr 0.000 0.000 0.000
Cr 0.500 0.500 0.000
! **Calculated density**: 11.7 g/cm3
! **VASP energy**: -7.94 eV per atom
! **Density of states at the Fermi level**: 0.138 states/eV per atom
! **Formation enthalpy at 0 K**: -0.065 eV per atom

***

[5]
! Pu5RuAu4 (GGA-PBE, optimized geometry); values from VASP
&SYSTEM
  ibrav = 0, nat = 10, ntyp = 3
/
ATOMIC_SPECIES
Au 196.97 Au.upf
Pu 244.00 Pu.upf
Ru 101.07 Ru.upf
CELL_PARAMETERS angstrom
3.076 0.000 0.000
0.000 3.076 0.000
0.000 0.000 22.064
ATOMIC_POSITIONS crystal
Au 0.000 0.000 0.395
Au 0.000 0.000 0.814
Au 0.000 0.000 0.605
Au 0.000 0.000 0.186
Pu 0.500 0.500 0.083
Pu 0.500 0.500 0.290
Pu 0.500 0.500 0.500
Pu 0.500 0.500 0.710
Pu 0.500 0.500 0.917
Ru 0.000 0.000 0.000
! **Calculated density**: 16.8 g/cm3
! **VASP energy**: -9.38 eV per atom
! **Density of states at the Fermi level**: 3.655 states/eV per atom
! **Formation enthalpy at 0 K**: 0.022 eV per atom